VASP calculation (PBE-GGA) on a geometry-optimized BC2 structure.

It has space group Cm (No. 8), with a = 8.877 Å, b = 2.506 Å, c = 7.686 Å, α = 90.00°, β = 116.31° and γ = 90.00°. The distinct sites, in fractional coordinates, are B at (0.000, 0.000, 0.000), B at (0.009, 0.500, 0.836), B at (0.179, 0.000, 0.677), B at (0.362, 0.500, 0.520), C at (0.010, 0.500, 0.345), C at (0.012, 0.000, 0.461), C at (0.159, 0.500, 0.289), C at (0.183, 0.500, 0.827), C at (0.184, 0.000, 0.201), C at (0.332, 0.500, 0.029), C at (0.334, 0.000, 0.148) and C at (0.343, 0.000, 0.640).

The calculation puts the energy of formation at 337 meV/atom. The value obtained for the energy relative to the lowest polymorph listed for this composition is 9.4 kJ/mol of atoms.

VASP calculation (PBE-GGA) on a geometry-optimized Ba2TlOs structure.

It has space group F-43m (No. 216), with a = 7.722 Å, b = 7.722 Å, c = 7.722 Å, α = 90.00°, β = 90.00° and γ = 90.00°. The distinct sites, in fractional coordinates, are Ba at (0.000, 0.000, 0.000), Ba at (0.250, 0.250, 0.250), Tl at (0.000, 0.000, 0.500) and Os at (0.250, 0.250, 0.750).

The calculation puts the energy of formation at 665 meV/atom. The value obtained for the energy relative to the lowest polymorph listed for this composition is 34.5 kJ/mol of atoms.

VASP calculation (PBE-GGA) on a geometry-optimized Na2LiAg3F6 structure.

It has space group C2/m (No. 12), with a = 5.503 Å, b = 9.854 Å, c = 6.092 Å, α = 90.00°, β = 97.21° and γ = 90.00°. The distinct sites, in fractional coordinates, are Na at (0.000, 0.167, 0.000), Li at (0.000, 0.500, 0.000), Ag at (0.000, 0.000, 0.500), Ag at (0.000, 0.338, 0.500), F at (0.174, 0.347, 0.198) and F at (0.207, 0.000, 0.206).

The uncorrected formation energy comes out at -1876 meV per atom.

VASP calculation (PBE-GGA) on a geometry-optimized Tb2ZnSi3Pd4 structure.

It has space group P-4m2 (No. 115), with a = 4.191 Å, b = 4.191 Å, c = 10.066 Å, α = 90.00°, β = 90.00° and γ = 90.00°. The distinct sites, in fractional coordinates, are Tb at (0.000, 0.500, 0.248), Zn at (0.500, 0.500, 0.000), Si at (0.000, 0.000, 0.000), Si at (0.000, 0.500, 0.630), Pd at (0.000, 0.000, 0.500), Pd at (0.000, 0.500, 0.865) and Pd at (0.500, 0.500, 0.500).

The uncorrected formation energy comes out at -849 meV per atom.

VASP calculation (PBE-GGA) on a geometry-optimized BaLa2As2 structure.

It has space group P4/mbm (No. 127), with a = 8.702 Å, b = 8.702 Å, c = 3.848 Å, α = 90.00°, β = 90.00° and γ = 90.00°. The distinct sites, in fractional coordinates, are Ba at (0.000, 0.000, 0.000), La at (0.131, 0.369, 0.000) and As at (0.168, 0.668, 0.500).

The calculation puts the energy of formation at -859 meV/atom. The value obtained for the energy relative to the lowest polymorph listed for this composition is 22.6 kJ/mol of atoms.

VASP calculation (PBE-GGA) on a geometry-optimized Rb2Pa3RhO12 structure.

It has space group R-3m (No. 166, hexagonal axes), with a = 7.9978 Å, b = 7.9978 Å, c = 18.9516 Å, α = 90.00°, β = 90.00° and γ = 120.00°. The distinct sites, in fractional coordinates, are Rb at (0.0000, 0.0000, 0.1184), Pa at (0.0000, 0.5000, 0.0000), Rh at (0.0000, 0.0000, 0.5000), O at (0.0745, 0.5373, 0.3604) and O at (0.1019, 0.5510, 0.1092).

The uncorrected formation energy comes out at -2420 meV per atom.

Number 1: density of states at the Fermi level 4.04 states/eV/cell, spin magnetization 0.000 μB per atom. Number 2: density of states at the Fermi level 20.94 states/eV/cell, spin magnetization 0.000 μB per atom. Number 3: density of states at the Fermi level 0.00 states/eV/cell, spin magnetization 0.000 μB per atom. Number 4: density of states at the Fermi level 5.34 states/eV/cell, spin magnetization 0.000 μB per atom. Number 5: density of states at the Fermi level 11.82 states/eV/cell, spin magnetization 0.263 μB per atom. Number 6: density of states at the Fermi level 33.06 states/eV/cell, spin magnetization 0.228 μB per atom.